Crystalline K2NiF7 at its relaxed geometry, computed with GGA+U.

- raw total energy (eV per atom) = -3.54
- M_tot (μB per cell) = 6.1

Unit cell a=7.363 b=7.363 c=10.292 alpha=125.70 beta=125.70 gamma=46.43
Fractional coordinates of all 20 atoms:
1 K 0.064 0.650 0.944
2 K 0.350 0.936 0.556
3 K 0.650 0.064 0.444
4 K 0.936 0.350 0.056
5 Ni 0.266 0.734 0.750
6 Ni 0.734 0.266 0.250
7 F 0.089 0.119 0.281
8 F 0.119 0.089 0.781
9 F 0.195 0.661 0.530
10 F 0.250 0.433 0.695
11 F 0.339 0.805 0.970
12 F 0.403 0.597 0.250
13 F 0.433 0.250 0.195
14 F 0.567 0.750 0.805
15 F 0.597 0.403 0.750
16 F 0.661 0.195 0.030
17 F 0.750 0.567 0.305
18 F 0.805 0.339 0.470
19 F 0.881 0.911 0.219
20 F 0.911 0.881 0.719